(1)
VASP calculation (PBE) on crystalline Ac4UGe5 at its relaxed geometry.

a b c (Å): 10.064 10.064 6.311
angles (deg): 90.00 90.00 90.00
Space group I4 (No. 79)
Symmetry-distinct sites (fractional):
1 Ac 0.092 0.698 0.000
2 U 0.000 0.000 0.500
3 Ge 0.000 0.000 0.998
4 Ge 0.092 0.732 0.500

Summary:
DFT formation energy = -0.436 eV/atom
total magnetization = 3.18 μB/cell


(2)
VASP calculation (PBE) on crystalline AcVGe at its relaxed geometry.

a b c (Å): 4.4369 4.4369 4.5572
angles (deg): 90.00 90.00 120.00
Space group P-6m2 (No. 187)
Symmetry-distinct sites (fractional):
1 Ac 0.0000 0.0000 0.0000
2 V 0.6667 0.3333 0.5000
3 Ge 0.3333 0.6667 0.5000

Summary:
energy relative to the lowest polymorph listed for this composition = 0 meV per atom
DFT formation energy = -0.178 eV/atom
total magnetization = 2.53 μB/cell


(3)
VASP calculation (PBE) on crystalline Ac5VGe4 at its relaxed geometry.

a b c (Å): 20.096 4.025 8.492
angles (deg): 90.00 114.39 90.00
Space group C2/m (No. 12)
Symmetry-distinct sites (fractional):
1 Ac 0.000 0.000 0.000
2 Ac 0.137 0.500 0.494
3 Ac 0.194 0.500 0.103
4 V 0.000 0.000 0.500
5 Ge 0.034 0.500 0.740
6 Ge 0.128 0.000 0.779

Summary:
DFT formation energy = -0.379 eV/atom
total magnetization = 4.22 μB/cell


(4)
VASP calculation (PBE) on crystalline Ac3V2Ge9 at its relaxed geometry.

a b c (Å): 6.5472 6.5472 8.2572
angles (deg): 90.00 90.00 120.00
Space group P-3m1 (No. 164)
Symmetry-distinct sites (fractional):
1 Ac 0.0000 0.0000 0.0000
2 Ac 0.3333 0.6667 0.3376
3 V 0.3333 0.6667 0.8168
4 Ge 0.0000 0.5000 0.0000
5 Ge 0.1410 0.2819 0.6398

Summary:
DFT formation energy = -0.385 eV/atom
total magnetization = 0.33 μB/cell


(5)
VASP calculation (PBE) on crystalline Ac4VGe5 at its relaxed geometry.

a b c (Å): 9.604 9.604 6.488
angles (deg): 90.00 90.00 90.00
Space group I4 (No. 79)
Symmetry-distinct sites (fractional):
1 Ac 0.083 0.302 0.000
2 V 0.000 0.000 0.475
3 Ge 0.000 0.000 0.105
4 Ge 0.090 0.253 0.503

Summary:
DFT formation energy = -0.353 eV/atom
total magnetization = 0.00 μB/cell


(6)
VASP calculation (PBE) on crystalline AcVGe at its relaxed geometry.

a b c (Å): 4.781 15.545 4.483
angles (deg): 90.00 90.00 90.00
Space group Cmcm (No. 63)
Symmetry-distinct sites (fractional):
1 Ac 0.000 0.145 0.250
2 V 0.000 0.500 0.000
3 Ge 0.000 0.353 0.250

Summary:
energy relative to the lowest polymorph listed for this composition = 121 meV per atom
DFT formation energy = -0.057 eV/atom
total magnetization = 0.91 μB/cell


(7)
VASP calculation (PBE) on crystalline Ac2VGe at its relaxed geometry.

a b c (Å): 3.8928 3.8928 32.0465
angles (deg): 90.00 90.00 120.00
Space group R-3m (No. 166, hexagonal axes)
Symmetry-distinct sites (fractional):
1 Ac 0.0000 0.0000 0.0990
2 V 0.0000 0.0000 0.0000
3 Ge 0.0000 0.0000 0.5000

Summary:
DFT formation energy = 0.609 eV/atom
total magnetization = 13.25 μB/cell


(8)
VASP calculation (PBE) on crystalline Ac2VZnGe6 at its relaxed geometry.

a b c (Å): 6.4456 6.4456 36.8005
angles (deg): 90.00 90.00 120.00
Space group R-3m (No. 166, hexagonal axes)
Symmetry-distinct sites (fractional):
1 Ac 0.0000 0.0000 0.1110
2 Ac 0.0000 0.0000 0.2888
3 V 0.0000 0.0000 0.0000
4 V 0.0000 0.0000 0.5000
5 Zn 0.0000 0.0000 0.4281
6 Ge 0.0554 0.5277 0.2958
7 Ge 0.0684 0.5342 0.8653

Summary:
DFT formation energy = -0.332 eV/atom
total magnetization = 6.38 μB/cell


(9)
VASP calculation (PBE) on crystalline AcGe3W at its relaxed geometry.

a b c (Å): 4.943 4.943 4.943
angles (deg): 90.00 90.00 90.00
Space group Pm-3m (No. 221)
Symmetry-distinct sites (fractional):
1 Ac 0.000 0.000 0.000
2 Ge 0.000 0.500 0.500
3 W 0.500 0.500 0.500

Summary:
DFT formation energy = -0.090 eV/atom
total magnetization = 0.00 μB/cell


(10)
VASP calculation (PBE) on crystalline Ac2YGe at its relaxed geometry.

a b c (Å): 3.7970 3.7970 36.7309
angles (deg): 90.00 90.00 120.00
Space group R-3m (No. 166, hexagonal axes)
Symmetry-distinct sites (fractional):
1 Ac 0.0000 0.0000 0.0849
2 Y 0.0000 0.0000 0.5000
3 Ge 0.0000 0.0000 0.0000

Summary:
energy relative to the lowest polymorph listed for this composition = 456 meV per atom
DFT formation energy = 0.272 eV/atom
total magnetization = 0.00 μB/cell


(11)
VASP calculation (PBE) on crystalline AcYGe4 at its relaxed geometry.

a b c (Å): 7.882 17.651 4.245
angles (deg): 90.00 90.00 90.00
Space group Pbam (No. 55)
Symmetry-distinct sites (fractional):
1 Ac 0.138 0.166 0.000
2 Y 0.139 0.414 0.000
3 Ge 0.024 0.684 0.500
4 Ge 0.091 0.938 0.500
5 Ge 0.152 0.540 0.500
6 Ge 0.204 0.802 0.500

Summary:
energy relative to the lowest polymorph listed for this composition = 0 meV per atom
DFT formation energy = -0.562 eV/atom
total magnetization = 0.00 μB/cell


(12)
VASP calculation (PBE) on crystalline AcYGe2 at its relaxed geometry.

a b c (Å): 3.903 3.903 6.782
angles (deg): 90.00 90.00 90.00
Space group P4/mmm (No. 123)
Symmetry-distinct sites (fractional):
1 Ac 0.000 0.000 0.000
2 Y 0.000 0.000 0.500
3 Ge 0.500 0.500 0.301

Summary:
DFT formation energy = -0.640 eV/atom
total magnetization = 0.01 μB/cell


(13)
VASP calculation (PBE) on crystalline Ac3YGe3 at its relaxed geometry.

a b c (Å): 8.844 13.470 8.081
angles (deg): 90.00 95.67 90.00
Space group C2/m (No. 12)
Symmetry-distinct sites (fractional):
1 Ac 0.000 0.166 0.000
2 Ac 0.000 0.234 0.500
3 Ac 0.116 0.500 0.847
4 Y 0.218 0.000 0.614
5 Ge 0.078 0.000 0.285
6 Ge 0.179 0.332 0.207

Summary:
DFT formation energy = -0.556 eV/atom
total magnetization = 0.27 μB/cell


(14)
VASP calculation (PBE) on crystalline Ac2YGe at its relaxed geometry.

a b c (Å): 5.126 5.126 4.892
angles (deg): 90.00 90.00 90.00
Space group P4/mmm (No. 123)
Symmetry-distinct sites (fractional):
1 Ac 0.000 0.500 0.000
2 Y 0.000 0.000 0.500
3 Ge 0.500 0.500 0.500

Summary:
energy relative to the lowest polymorph listed for this composition = 0 meV per atom
DFT formation energy = -0.184 eV/atom
total magnetization = 0.00 μB/cell


(15)
VASP calculation (PBE) on crystalline AcYGe at its relaxed geometry.

a b c (Å): 8.2713 8.2713 4.5801
angles (deg): 90.00 90.00 120.00
Space group P-62m (No. 189)
Symmetry-distinct sites (fractional):
1 Ac 0.0000 0.5929 0.0000
2 Y 0.0000 0.2505 0.5000
3 Ge 0.0000 0.0000 0.0000
4 Ge 0.3333 0.6667 0.5000

Summary:
energy relative to the lowest polymorph listed for this composition = 0 meV per atom
DFT formation energy = -0.581 eV/atom
total magnetization = 2.72 μB/cell


(16)
VASP calculation (PBE) on crystalline AcYGe at its relaxed geometry.

a b c (Å): 4.656 4.656 8.488
angles (deg): 90.00 90.00 90.00
Space group P4/nmm (No. 129, origin choice 2)
Symmetry-distinct sites (fractional):
1 Ac 0.250 0.250 0.142
2 Y 0.250 0.750 0.500
3 Ge 0.250 0.250 0.739

Summary:
energy relative to the lowest polymorph listed for this composition = 5 meV per atom
DFT formation energy = -0.576 eV/atom
total magnetization = 2.43 μB/cell


(17)
VASP calculation (PBE) on crystalline Ac2Y2Ge3 at its relaxed geometry.

a b c (Å): 4.679 6.070 8.569
angles (deg): 98.32 90.07 112.65
Space group P-1 (No. 2)
Symmetry-distinct sites (fractional):
1 Ac 0.127 0.251 0.350
2 Y 0.359 0.718 0.065
3 Ge 0.000 0.000 0.000
4 Ge 0.196 0.394 0.739

Summary:
DFT formation energy = -0.628 eV/atom
total magnetization = 0.00 μB/cell


(18)
VASP calculation (PBE) on crystalline AcY4Ge4 at its relaxed geometry.

a b c (Å): 9.548 9.548 5.769
angles (deg): 90.00 90.00 90.00
Space group P4_2/n (No. 86, origin choice 2)
Symmetry-distinct sites (fractional):
1 Ac 0.250 0.250 0.250
2 Y 0.108 0.634 0.135
3 Ge 0.060 0.586 0.646

Summary:
DFT formation energy = -0.627 eV/atom
total magnetization = 0.00 μB/cell


(19)
VASP calculation (PBE) on crystalline AcYGe2 at its relaxed geometry.

a b c (Å): 7.687 5.060 6.708
angles (deg): 90.00 118.75 90.00
Space group C2/m (No. 12)
Symmetry-distinct sites (fractional):
1 Ac 0.000 0.000 0.000
2 Y 0.000 0.500 0.500
3 Ge 0.209 0.000 0.686

Summary:
DFT formation energy = -0.645 eV/atom
total magnetization = 0.00 μB/cell


(20)
VASP calculation (PBE) on crystalline AcYGe at its relaxed geometry.

a b c (Å): 7.304 7.304 7.304
angles (deg): 90.00 90.00 90.00
Space group F-43m (No. 216)
Symmetry-distinct sites (fractional):
1 Ac 0.000 0.000 0.000
2 Y 0.000 0.000 0.500
3 Ge 0.250 0.250 0.250

Summary:
energy relative to the lowest polymorph listed for this composition = 152 meV per atom
DFT formation energy = -0.430 eV/atom
total magnetization = 0.00 μB/cell


(21)
VASP calculation (PBE) on crystalline Ac5YGe4 at its relaxed geometry.

a b c (Å): 20.832 4.549 8.304
angles (deg): 90.00 113.46 90.00
Space group C2/m (No. 12)
Symmetry-distinct sites (fractional):
1 Ac 0.000 0.000 0.000
2 Ac 0.161 0.500 0.913
3 Ac 0.162 0.500 0.413
4 Y 0.000 0.000 0.500
5 Ge 0.000 0.500 0.269
6 Ge 0.195 0.000 0.696

Summary:
DFT formation energy = -0.523 eV/atom
total magnetization = 0.00 μB/cell


(22)
VASP calculation (PBE) on crystalline AcYGe4 at its relaxed geometry.

a b c (Å): 8.227 8.227 8.227
angles (deg): 90.00 90.00 90.00
Space group F-43m (No. 216)
Symmetry-distinct sites (fractional):
1 Ac 0.000 0.000 0.000
2 Y 0.250 0.250 0.750
3 Ge 0.120 0.120 0.380

Summary:
energy relative to the lowest polymorph listed for this composition = 242 meV per atom
DFT formation energy = -0.320 eV/atom
total magnetization = 0.00 μB/cell


(23)
VASP calculation (PBE) on crystalline AcYGe at its relaxed geometry.

a b c (Å): 4.9020 4.9020 4.6225
angles (deg): 90.00 90.00 120.00
Space group P3m1 (No. 156)
Symmetry-distinct sites (fractional):
1 Ac 0.0000 0.0000 0.0000
2 Y 0.3333 0.6667 0.5003
3 Ge 0.6667 0.3333 0.4984

Summary:
energy relative to the lowest polymorph listed for this composition = 144 meV per atom
DFT formation energy = -0.438 eV/atom
total magnetization = 0.00 μB/cell